First-principles (PBE-GGA) data for a geometry-optimized CsK2AgAs structure, as listed in the Alexandria database.

Geometry as POSCAR:
```
CsK2AgAs
1.0
-3.360 4.472 -3.415
0.039 -3.959 -5.222
-4.455 -2.137 1.586
Cs As K Ag
1 1 2 1
direct
0.500 0.500 0.500
0.000 0.000 0.000
0.000 0.500 0.000
0.500 0.000 0.000
0.000 0.000 0.500
```

symmetry: No. 123
DOS at the Fermi energy: 1.252 states/eV/cell
total magnetic moment: 0.36 μB/f.u.
E_form: -95 meV/atom